--- i ---
Material: HfMg2I
Method: DFT, GGA-PBE
State: optimized geometry

Output
The density of states at the Fermi level is 4.16 states/eV/f.u. As for the space-group type: I-42d, No. 122.

a = 6.606 Å, b = 6.606 Å, c = 6.606 Å
α = 102.01°, β = 102.01°, γ = 125.71°
Atoms (fractional coordinates):
Hf 0.000 0.000 0.000
Hf 0.750 0.250 0.500
Mg 0.132 0.625 0.007
Mg 0.375 0.382 0.507
Mg 0.618 0.125 0.993
Mg 0.875 0.868 0.493
I 0.250 0.750 0.500
I 0.500 0.500 0.000

--- ii ---
Material: HfMg2I
Method: DFT, GGA-PBE
State: optimized geometry

Output
The density of states at the Fermi level is 6.47 states/eV/f.u. As for the space-group type: Fm-3m, No. 225.

a = 5.294 Å, b = 5.294 Å, c = 5.294 Å
α = 60.00°, β = 60.00°, γ = 60.00°
Atoms (fractional coordinates):
Hf 0.000 0.000 0.000
Mg 0.250 0.250 0.250
Mg 0.750 0.750 0.750
I 0.500 0.500 0.500

Calculated relative energies: i 0; ii 197, given in meV per atom

--- i ---
Material: HfMg3I
Method: DFT, GGA-PBE
State: optimized geometry

Output
The density of states at the Fermi level is 4.81 states/eV/f.u. As for the space-group type: Pm-3m, No. 221.

a = 5.404 Å, b = 5.404 Å, c = 5.404 Å
α = 90.00°, β = 90.00°, γ = 90.00°
Atoms (fractional coordinates):
Hf 0.000 0.000 0.000
Mg 0.000 0.500 0.500
Mg 0.500 0.000 0.500
Mg 0.500 0.500 0.000
I 0.500 0.500 0.500

--- ii ---
Material: HfMg3I
Method: DFT, GGA-PBE
State: optimized geometry

Output
The density of states at the Fermi level is 9.35 states/eV/f.u. As for the space-group type: Pm-3m, No. 221.

a = 5.904 Å, b = 5.904 Å, c = 5.904 Å
α = 90.00°, β = 90.00°, γ = 90.00°
Atoms (fractional coordinates):
Hf 0.000 0.000 0.000
Mg 0.000 0.000 0.500
Mg 0.000 0.500 0.000
Mg 0.500 0.000 0.000
I 0.500 0.500 0.500

Calculated relative energies: i 102; ii 0, given in meV per atom

--- i ---
Material: HfMgI2N
Method: DFT, GGA-PBE
State: optimized geometry

Output
The density of states at the Fermi level is 4.39 states/eV/f.u. As for the space-group type: P4/mmm, No. 123.

a = 5.598 Å, b = 5.598 Å, c = 3.808 Å
α = 90.00°, β = 90.00°, γ = 90.00°
Atoms (fractional coordinates):
Hf 0.000 0.000 0.000
Mg 0.500 0.500 0.500
I 0.000 0.500 0.500
I 0.500 0.000 0.500
N 0.500 0.500 0.000

--- ii ---
Material: HfMgI2N
Method: DFT, GGA-PBE
State: optimized geometry

Output
The density of states at the Fermi level is 3.73 states/eV/f.u. As for the space-group type: P4/mmm, No. 123.

a = 5.948 Å, b = 5.948 Å, c = 4.000 Å
α = 90.00°, β = 90.00°, γ = 90.00°
Atoms (fractional coordinates):
Hf 0.000 0.000 0.000
Mg 0.500 0.500 0.500
I 0.000 0.500 0.000
I 0.500 0.000 0.000
N 0.000 0.000 0.500

Calculated relative energies: i 880; ii 0, given in meV per atom

--- i ---
Material: HfMgIN2
Method: DFT, GGA-PBE
State: optimized geometry

Output
The density of states at the Fermi level is 1.85 states/eV/f.u. As for the space-group type: P4/mmm, No. 123.

a = 4.191 Å, b = 4.191 Å, c = 5.901 Å
α = 90.00°, β = 90.00°, γ = 90.00°
Atoms (fractional coordinates):
Hf 0.000 0.000 0.000
Mg 0.500 0.500 0.500
I 0.000 0.000 0.500
N 0.000 0.500 0.000
N 0.500 0.000 0.000

--- ii ---
Material: HfMgIN2
Method: DFT, GGA-PBE
State: optimized geometry

Output
The density of states at the Fermi level is 3.66 states/eV/f.u. As for the space-group type: P4/mmm, No. 123.

a = 4.097 Å, b = 4.097 Å, c = 5.160 Å
α = 90.00°, β = 90.00°, γ = 90.00°
Atoms (fractional coordinates):
Hf 0.000 0.000 0.000
Mg 0.500 0.500 0.500
I 0.500 0.500 0.000
N 0.000 0.500 0.500
N 0.500 0.000 0.500

Calculated relative energies: i 0; ii 1089, given in meV per atom

--- i ---
Material: HfMgIO2
Method: DFT, GGA-PBE
State: optimized geometry

Output
The density of states at the Fermi level is 1.65 states/eV/f.u. As for the space-group type: P4/mmm, No. 123.

a = 4.116 Å, b = 4.116 Å, c = 6.076 Å
α = 90.00°, β = 90.00°, γ = 90.00°
Atoms (fractional coordinates):
Hf 0.000 0.000 0.000
Mg 0.500 0.500 0.500
I 0.000 0.000 0.500
O 0.000 0.500 0.000
O 0.500 0.000 0.000

--- ii ---
Material: HfMgIO2
Method: DFT, GGA-PBE
State: optimized geometry

Output
The density of states at the Fermi level is 2.83 states/eV/f.u. As for the space-group type: P4/mmm, No. 123.

a = 4.064 Å, b = 4.064 Å, c = 5.091 Å
α = 90.00°, β = 90.00°, γ = 90.00°
Atoms (fractional coordinates):
Hf 0.000 0.000 0.000
Mg 0.500 0.500 0.500
I 0.500 0.500 0.000
O 0.000 0.500 0.500
O 0.500 0.000 0.500

Calculated relative energies: i 0; ii 1156, given in meV per atom

--- i ---
Material: HfMgSbI2
Method: DFT, GGA-PBE
State: optimized geometry

Output
The density of states at the Fermi level is 3.71 states/eV/f.u. As for the space-group type: P4/mmm, No. 123.

a = 5.615 Å, b = 5.615 Å, c = 5.766 Å
α = 90.00°, β = 90.00°, γ = 90.00°
Atoms (fractional coordinates):
Hf 0.000 0.000 0.000
Mg 0.500 0.500 0.500
Sb 0.000 0.000 0.500
I 0.000 0.500 0.000
I 0.500 0.000 0.000

--- ii ---
Material: HfMgSbI2
Method: DFT, GGA-PBE
State: optimized geometry

Output
The density of states at the Fermi level is 4.31 states/eV/f.u. As for the space-group type: P4/mmm, No. 123.

a = 6.105 Å, b = 6.105 Å, c = 5.649 Å
α = 90.00°, β = 90.00°, γ = 90.00°
Atoms (fractional coordinates):
Hf 0.000 0.000 0.000
Mg 0.500 0.500 0.000
Sb 0.000 0.000 0.500
I 0.000 0.500 0.500
I 0.500 0.000 0.500

Calculated relative energies: i 0; ii 715, given in meV per atom

--- i ---
Material: HfMgSb2I
Method: DFT, GGA-PBE
State: optimized geometry

Output
The density of states at the Fermi level is 5.83 states/eV/f.u. As for the space-group type: P4/mmm, No. 123.

a = 5.574 Å, b = 5.574 Å, c = 5.663 Å
α = 90.00°, β = 90.00°, γ = 90.00°
Atoms (fractional coordinates):
Hf 0.000 0.000 0.000
Mg 0.500 0.500 0.500
Sb 0.000 0.500 0.000
Sb 0.500 0.000 0.000
I 0.000 0.000 0.500

--- ii ---
Material: HfMgSb2I
Method: DFT, GGA-PBE
State: optimized geometry

Output
The density of states at the Fermi level is 4.56 states/eV/f.u. As for the space-group type: P4/mmm, No. 123.

a = 5.891 Å, b = 5.891 Å, c = 5.211 Å
α = 90.00°, β = 90.00°, γ = 90.00°
Atoms (fractional coordinates):
Hf 0.000 0.000 0.000
Mg 0.500 0.500 0.000
Sb 0.000 0.500 0.500
Sb 0.500 0.000 0.500
I 0.000 0.000 0.500

Calculated relative energies: i 0; ii 999, given in meV per atom

--- i ---
Material: HfMgTeI2
Method: DFT, GGA-PBE
State: optimized geometry

Output
The density of states at the Fermi level is 3.98 states/eV/f.u. As for the space-group type: P4/mmm, No. 123.

a = 5.382 Å, b = 5.382 Å, c = 5.667 Å
α = 90.00°, β = 90.00°, γ = 90.00°
Atoms (fractional coordinates):
Hf 0.000 0.000 0.000
Mg 0.500 0.500 0.500
Te 0.500 0.500 0.000
I 0.000 0.500 0.500
I 0.500 0.000 0.500

--- ii ---
Material: HfMgTeI2
Method: DFT, GGA-PBE
State: optimized geometry

Output
The density of states at the Fermi level is 4.16 states/eV/f.u. As for the space-group type: P4/mmm, No. 123.

a = 5.736 Å, b = 5.736 Å, c = 5.578 Å
α = 90.00°, β = 90.00°, γ = 90.00°
Atoms (fractional coordinates):
Hf 0.000 0.000 0.000
Mg 0.500 0.500 0.500
Te 0.000 0.000 0.500
I 0.000 0.500 0.000
I 0.500 0.000 0.000

Calculated relative energies: i 532; ii 0, given in meV per atom